(1)
# Mg3H2Ir4

Crystalline Mg3H2Ir4 at its relaxed geometry (PBE, the Alexandria database).

extended XYZ file:
```
9
Lattice="5.354 -0.203 -1.645 -2.519 3.917 0.417 -0.158 0.186 6.218" Properties=species:S:1:pos:R:3 pbc="T T T"
Mg -0.934 2.304 2.762
Mg 2.785 1.029 3.324
Mg 2.421 3.430 -0.680
H 0.680 1.984 4.363
H 1.166 1.348 1.721
Ir 0.398 0.232 4.384
Ir -0.234 2.604 5.697
Ir 2.082 0.728 0.389
Ir 1.451 3.099 1.701
```

- D(E_F) (states/eV per cell) = 4.45
- energy (eV/atom) = -5.392
- size of the total moment (Bohr magnetons per cell) = 0.00

=====

(2)
# LaTb4Nd7

Crystalline LaTb4Nd7 at its relaxed geometry (PBE, the Alexandria database).

extended XYZ file:
```
12
Lattice="-2.950 -3.611 5.682 -3.575 -8.818 2.050 7.828 -4.422 1.253" Properties=species:S:1:pos:R:3 pbc="T T T"
La 0.000 0.000 0.000
Tb -1.536 -9.763 4.925
Tb 2.839 -7.087 4.061
Tb 0.296 -12.427 6.514
Tb 1.007 -4.423 2.471
Nd -4.001 -7.132 5.308
Nd 5.304 -9.718 3.677
Nd 1.331 -8.917 6.929
Nd -0.028 -7.933 2.056
Nd 1.773 -10.595 3.688
Nd -1.475 -1.805 2.841
Nd -0.470 -6.255 5.297
```

- D(E_F) (states/eV per cell) = 18.22
- formation enthalpy at 0 K (eV per atom) = 0.0070
- energy (eV/atom) = -4.728
- size of the total moment (Bohr magnetons per cell) = 0.00